Compound: K2MnRe3O12
Source: Alexandria via LeMat-Bulk
Functional: PBE+U
Structure: relaxed

Space-group type   R-3m (166)
Energy   -7.56 eV per atom
Volume   15.5 Å³ per atom

Cell lengths 7.314, 7.314, 7.314 Å; angles 60.30, 60.30, 60.30 degrees
Fractional coordinates of all 18 atoms:
O  0.938  0.309  0.309
O  0.309  0.309  0.938
O  0.665  0.068  0.068
O  0.335  0.932  0.932
Re  0.000  0.000  0.500
O  0.309  0.938  0.309
K  0.359  0.359  0.359
O  0.932  0.335  0.932
O  0.932  0.932  0.335
O  0.062  0.691  0.691
O  0.691  0.062  0.691
O  0.068  0.068  0.665
O  0.068  0.665  0.068
Re  0.500  0.000  0.000
O  0.691  0.691  0.062
Mn  0.000  0.000  0.000
K  0.641  0.641  0.641
Re  0.000  0.500  0.000